Record 1
{
  "formula": "Rb2CdFeBr6",
  "functional": "GGA-PBE",
  "state": "optimized geometry",
  "raw_formation_energy_ev_per_atom": -1.04,
  "total_magnetization_mub_per_atom": 0.40,
  "total_energy_ev_per_cell": -31.8,
  "lattice": [[-1.815, -0.329, 7.491], [-7.087, -2.145, 2.163], [-1.129, -6.705, 3.404]],
  "species": ["Br", "Rb", "Br", "Fe", "Rb", "Br", "Br", "Br", "Br", "Cd"],
  "frac_coords": [[0.026, 0.555, 0.295], [0.066, 0.066, 0.802], [0.509, 0.606, 0.808], [0.316, 0.316, 0.051], [0.566, 0.566, 0.301], [0.077, 0.509, 0.807], [0.607, 0.077, 0.808], [0.123, 0.026, 0.295], [0.555, 0.124, 0.296], [0.816, 0.816, 0.551]]
}

---

Record 2
{
  "formula": "RbCdFeBr5",
  "functional": "GGA-PBE",
  "state": "optimized geometry",
  "raw_formation_energy_ev_per_atom": -0.90,
  "total_magnetization_mub_per_atom": 0.50,
  "total_energy_ev_per_cell": -51.8,
  "lattice": [[7.921, 0.067, 0.028], [-2.248, 7.596, 0.028], [-2.315, -3.127, 9.197]],
  "species": ["Cd", "Br", "Br", "Rb", "Br", "Br", "Rb", "Br", "Cd", "Br", "Br", "Br", "Fe", "Br", "Br", "Fe"],
  "frac_coords": [[0.000, 0.000, 0.500], [0.091, 0.682, 0.884], [0.920, 0.080, 0.750], [0.350, 0.650, 0.250], [0.318, 0.909, 0.616], [0.080, 0.920, 0.250], [0.650, 0.350, 0.750], [0.607, 0.760, 0.935], [0.000, 0.000, 0.000], [0.393, 0.240, 0.065], [0.909, 0.318, 0.116], [0.760, 0.607, 0.435], [0.312, 0.688, 0.750], [0.240, 0.393, 0.565], [0.682, 0.091, 0.384], [0.688, 0.312, 0.250]]
}

---

Record 3
{
  "formula": "RbCd2FeBr",
  "functional": "GGA-PBE",
  "state": "optimized geometry",
  "raw_formation_energy_ev_per_atom": 0.00,
  "total_magnetization_mub_per_atom": 0.47,
  "total_energy_ev_per_cell": -12.9,
  "lattice": [[-2.487, 4.531, -0.878], [-4.448, -2.737, -1.524], [-1.711, 0.021, 4.955]],
  "species": ["Br", "Cd", "Fe", "Rb", "Cd"],
  "frac_coords": [[0.000, 0.500, 0.000], [0.500, 0.000, 0.000], [0.000, 0.000, 0.000], [0.500, 0.500, 0.500], [0.000, 0.000, 0.500]]
}

---

Record 4
{
  "formula": "Cd2FeRhBr",
  "functional": "GGA-PBE",
  "state": "optimized geometry",
  "raw_formation_energy_ev_per_atom": 1.24,
  "total_magnetization_mub_per_atom": 0.53,
  "total_energy_ev_per_cell": -13.1,
  "lattice": [[5.316, 0.000, 0.000], [0.000, 4.324, 0.000], [0.000, 0.000, 5.316]],
  "species": ["Fe", "Cd", "Cd", "Rh", "Br"],
  "frac_coords": [[0.000, 0.500, 0.000], [0.000, 0.000, 0.500], [0.500, 0.000, 0.000], [0.500, 0.500, 0.500], [0.000, 0.000, 0.000]]
}

---

Record 5
{
  "formula": "CdFeSe2Br",
  "functional": "GGA-PBE",
  "state": "optimized geometry",
  "polymorph_energy_mev_per_atom": 0,
  "raw_formation_energy_ev_per_atom": 0.18,
  "total_magnetization_mub_per_atom": 0.00,
  "total_energy_ev_per_cell": -17.1,
  "lattice": [[4.660, 0.000, 0.000], [0.000, 4.660, 0.000], [0.000, 0.000, 5.181]],
  "species": ["Cd", "Fe", "Se", "Br", "Se"],
  "frac_coords": [[0.500, 0.500, 0.500], [0.000, 0.000, 0.000], [0.000, 0.500, 0.000], [0.000, 0.000, 0.500], [0.500, 0.000, 0.000]]
}

---

Record 6
{
  "formula": "TlCdFe2Br8",
  "functional": "GGA-PBE",
  "state": "optimized geometry",
  "raw_formation_energy_ev_per_atom": -0.61,
  "total_magnetization_mub_per_atom": 0.75,
  "total_energy_ev_per_cell": -40.9,
  "lattice": [[-4.157, 2.314, -4.868], [0.356, -3.983, -5.508], [-7.428, -5.608, 2.791]],
  "species": ["Br", "Br", "Br", "Br", "Tl", "Br", "Br", "Fe", "Cd", "Br", "Fe", "Br"],
  "frac_coords": [[0.243, 0.739, 0.215], [0.261, 0.757, 0.785], [0.757, 0.261, 0.785], [0.250, 0.250, 0.992], [0.000, 0.000, 0.500], [0.739, 0.243, 0.215], [0.293, 0.293, 0.568], [0.624, 0.624, 0.218], [0.000, 0.000, 0.000], [0.750, 0.750, 0.008], [0.376, 0.376, 0.782], [0.707, 0.707, 0.432]]
}

---

Record 7
{
  "formula": "Tl2CdFeBr6",
  "functional": "GGA-PBE",
  "state": "optimized geometry",
  "raw_formation_energy_ev_per_atom": -0.67,
  "total_magnetization_mub_per_atom": 0.40,
  "total_energy_ev_per_cell": -30.8,
  "lattice": [[-1.519, 3.449, 6.675], [-7.261, 1.030, 2.219], [-2.833, -3.878, 5.754]],
  "species": ["Fe", "Br", "Cd", "Br", "Br", "Br", "Tl", "Br", "Tl", "Br"],
  "frac_coords": [[0.316, 0.316, 0.052], [0.143, 0.008, 0.298], [0.816, 0.816, 0.551], [0.007, 0.552, 0.297], [0.550, 0.143, 0.299], [0.625, 0.080, 0.806], [0.079, 0.078, 0.763], [0.082, 0.489, 0.804], [0.553, 0.554, 0.340], [0.490, 0.624, 0.805]]
}

---

Record 8
{
  "formula": "Cd2GaBr6",
  "functional": "GGA-PBE",
  "state": "optimized geometry",
  "raw_formation_energy_ev_per_atom": -0.72,
  "total_magnetization_mub_per_atom": 0.00,
  "total_energy_ev_per_cell": -42.7,
  "lattice": [[-2.178, -3.113, 5.971], [-5.042, -8.486, -3.364], [8.254, -5.641, 2.968]],
  "species": ["Cd", "Br", "Cd", "Br", "Br", "Br", "Br", "Br", "Br", "Ga", "Cd", "Br", "Br", "Cd", "Br", "Ga", "Br", "Br"],
  "frac_coords": [[0.363, 0.215, 0.372], [0.869, 0.831, 0.402], [0.863, 0.372, 0.215], [0.814, 0.575, 0.733], [0.923, 0.211, 0.999], [0.423, 0.999, 0.211], [0.577, 0.001, 0.789], [0.686, 0.267, 0.425], [0.314, 0.733, 0.575], [0.250, 0.190, 0.810], [0.137, 0.628, 0.785], [0.131, 0.169, 0.598], [0.631, 0.598, 0.169], [0.637, 0.785, 0.628], [0.186, 0.425, 0.267], [0.750, 0.810, 0.190], [0.077, 0.789, 0.001], [0.369, 0.402, 0.831]]
}

---

Record 9
{
  "formula": "CdGaBr3",
  "functional": "GGA-PBE",
  "state": "optimized geometry",
  "raw_formation_energy_ev_per_atom": -0.57,
  "total_magnetization_mub_per_atom": 0.00,
  "total_energy_ev_per_cell": -11.8,
  "lattice": [[-0.612, 3.628, 4.082], [-4.687, 1.760, -2.266], [-2.804, -3.734, 2.898]],
  "species": ["Ga", "Br", "Br", "Cd", "Br"],
  "frac_coords": [[0.500, 0.500, 0.500], [0.500, 0.000, 0.000], [0.000, 0.000, 0.500], [0.000, 0.000, 0.000], [0.000, 0.500, 0.000]]
}

---

Record 10
{
  "formula": "Cd5Ga3Br12",
  "functional": "GGA-PBE",
  "state": "optimized geometry",
  "raw_formation_energy_ev_per_atom": -0.67,
  "total_magnetization_mub_per_atom": 0.00,
  "total_energy_ev_per_cell": -188.2,
  "lattice": [[-6.687, 1.201, 13.601], [14.692, -3.438, 1.862], [-1.212, 13.210, -7.428]],
  "species": ["Cd", "Br", "Ga", "Ga", "Br", "Br", "Cd", "Br", "Br", "Ga", "Ga", "Br", "Br", "Br", "Ga", "Br", "Br", "Br", "Cd", "Br", "Ga", "Br", "Br", "Br", "Br", "Br", "Br", "Cd", "Cd", "Ga", "Br", "Br", "Br", "Br", "Br", "Cd", "Br", "Br", "Br", "Cd", "Br", "Cd", "Ga", "Br", "Br", "Br", "Br", "Br", "Cd", "Br", "Br", "Cd", "Br", "Br", "Br", "Ga", "Cd", "Br", "Br", "Br", "Cd", "Ga", "Br", "Br", "Ga", "Br", "Cd", "Br", "Cd", "Cd", "Cd", "Br", "Cd", "Br", "Cd", "Br", "Br", "Cd", "Ga", "Cd"],
  "frac_coords": [[0.125, 0.750, 0.375], [0.588, 0.878, 0.410], [0.750, 0.875, 0.625], [0.750, 0.375, 0.125], [0.588, 0.710, 0.678], [0.210, 0.532, 0.622], [0.750, 0.125, 0.875], [0.322, 0.790, 0.412], [0.622, 0.032, 0.210], [0.125, 0.250, 0.875], [0.250, 0.625, 0.875], [0.590, 0.968, 0.678], [0.090, 0.178, 0.468], [0.032, 0.622, 0.710], [0.625, 0.375, 0.750], [0.290, 0.412, 0.822], [0.790, 0.322, 0.912], [0.822, 0.912, 0.290], [0.625, 0.875, 0.250], [0.678, 0.210, 0.588], [0.125, 0.875, 0.750], [0.968, 0.590, 0.178], [0.912, 0.090, 0.622], [0.178, 0.088, 0.710], [0.178, 0.090, 0.968], [0.090, 0.912, 0.122], [0.122, 0.412, 0.090], [0.000, 0.000, 0.000], [0.625, 0.750, 0.875], [0.375, 0.625, 0.250], [0.412, 0.122, 0.590], [0.710, 0.588, 0.178], [0.412, 0.290, 0.322], [0.878, 0.588, 0.910], [0.678, 0.468, 0.590], [0.000, 0.500, 0.000], [0.290, 0.878, 0.968], [0.032, 0.410, 0.822], [0.590, 0.622, 0.412], [0.500, 0.500, 0.000], [0.910, 0.088, 0.878], [0.500, 0.500, 0.500], [0.875, 0.125, 0.250], [0.122, 0.710, 0.532], [0.322, 0.532, 0.410], [0.468, 0.790, 0.878], [0.878, 0.290, 0.468], [0.088, 0.910, 0.378], [0.250, 0.375, 0.625], [0.410, 0.378, 0.588], [0.532, 0.322, 0.910], [0.000, 0.500, 0.500], [0.532, 0.210, 0.122], [0.910, 0.822, 0.532], [0.822, 0.910, 0.032], [0.375, 0.750, 0.625], [0.875, 0.250, 0.625], [0.710, 0.122, 0.032], [0.790, 0.468, 0.378], [0.210, 0.678, 0.088], [0.125, 0.375, 0.250], [0.625, 0.250, 0.375], [0.378, 0.968, 0.790], [0.968, 0.378, 0.290], [0.875, 0.750, 0.125], [0.468, 0.678, 0.090], [0.375, 0.125, 0.750], [0.912, 0.822, 0.790], [0.250, 0.875, 0.125], [0.500, 0.000, 0.500], [0.500, 0.000, 0.000], [0.088, 0.178, 0.210], [0.750, 0.625, 0.375], [0.378, 0.410, 0.088], [0.000, 0.000, 0.500], [0.622, 0.590, 0.912], [0.410, 0.032, 0.322], [0.375, 0.250, 0.125], [0.250, 0.125, 0.375], [0.875, 0.625, 0.750]]
}

---

Record 11
{
  "formula": "CdGa2Br5",
  "functional": "GGA-PBE",
  "state": "optimized geometry",
  "polymorph_energy_mev_per_atom": 0,
  "raw_formation_energy_ev_per_atom": -0.67,
  "total_magnetization_mub_per_atom": 0.00,
  "total_energy_ev_per_cell": -41.3,
  "lattice": [[4.466, -0.001, 0.000], [-2.238, 8.929, 0.000], [0.000, 0.000, 16.087]],
  "species": ["Ga", "Cd", "Br", "Br", "Br", "Br", "Ga", "Br", "Br", "Br", "Ga", "Br", "Br", "Br", "Cd", "Ga"],
  "frac_coords": [[0.097, 0.187, 0.831], [0.127, 0.254, 0.250], [0.644, 0.281, 0.605], [0.042, 0.089, 0.114], [0.356, 0.719, 0.395], [0.958, 0.911, 0.886], [0.903, 0.813, 0.331], [0.958, 0.911, 0.614], [0.356, 0.719, 0.105], [0.644, 0.281, 0.895], [0.903, 0.813, 0.169], [0.042, 0.089, 0.386], [0.290, 0.579, 0.750], [0.710, 0.421, 0.250], [0.873, 0.746, 0.750], [0.097, 0.187, 0.669]]
}

---

Record 12
{
  "formula": "Cd2Ga2Br",
  "functional": "GGA-PBE",
  "state": "optimized geometry",
  "raw_formation_energy_ev_per_atom": -0.06,
  "total_magnetization_mub_per_atom": 0.00,
  "total_energy_ev_per_cell": -19.7,
  "lattice": [[-5.139, -2.760, -5.928], [3.124, -7.660, 0.859], [-2.377, -0.702, 2.387]],
  "species": ["Cd", "Ga", "Cd", "Cd", "Br", "Ga", "Ga", "Br", "Cd", "Ga"],
  "frac_coords": [[0.814, 0.686, 0.000], [0.112, 0.612, 0.500], [0.686, 0.186, 0.000], [0.186, 0.314, 0.000], [0.000, 0.000, 0.000], [0.388, 0.112, 0.500], [0.612, 0.888, 0.500], [0.500, 0.500, 0.000], [0.314, 0.814, 0.000], [0.888, 0.388, 0.500]]
}

---

Record 13
{
  "formula": "CdGa3Br",
  "functional": "GGA-PBE",
  "state": "optimized geometry",
  "polymorph_energy_mev_per_atom": 0,
  "raw_formation_energy_ev_per_atom": 0.17,
  "total_magnetization_mub_per_atom": 0.00,
  "total_energy_ev_per_cell": -10.8,
  "lattice": [[5.296, 0.000, 0.000], [0.000, 5.296, 0.000], [0.000, 0.000, 5.296]],
  "species": ["Ga", "Ga", "Br", "Ga", "Cd"],
  "frac_coords": [[0.000, 0.500, 0.000], [0.000, 0.000, 0.500], [0.500, 0.500, 0.500], [0.500, 0.000, 0.000], [0.000, 0.000, 0.000]]
}

---

Record 14
{
  "formula": "Cd2Ga2Br7",
  "functional": "GGA-PBE",
  "state": "optimized geometry",
  "raw_formation_energy_ev_per_atom": -0.62,
  "total_magnetization_mub_per_atom": 0.00,
  "total_energy_ev_per_cell": -26.4,
  "lattice": [[6.988, -0.091, -0.105], [-0.623, 7.765, -0.551], [-0.623, -1.580, 7.623]],
  "species": ["Br", "Br", "Br", "Cd", "Ga", "Br", "Br", "Br", "Br", "Ga", "Cd"],
  "frac_coords": [[0.215, 0.072, 0.441], [0.785, 0.928, 0.559], [0.500, 0.000, 0.000], [0.599, 0.739, 0.739], [0.000, 0.692, 0.308], [0.785, 0.559, 0.928], [0.215, 0.441, 0.072], [0.244, 0.587, 0.587], [0.756, 0.413, 0.413], [0.000, 0.308, 0.692], [0.401, 0.261, 0.261]]
}

---

Record 15
{
  "formula": "Cd2GaBr",
  "functional": "GGA-PBE",
  "state": "optimized geometry",
  "polymorph_energy_mev_per_atom": 94,
  "raw_formation_energy_ev_per_atom": -0.08,
  "total_magnetization_mub_per_atom": 0.00,
  "total_energy_ev_per_cell": -13.7,
  "lattice": [[-1.509, -5.649, -3.834], [1.943, -4.119, 5.305], [-4.971, -4.821, 2.685]],
  "species": ["Ga", "Cd", "Ga", "Br", "Cd", "Cd", "Cd", "Br"],
  "frac_coords": [[0.500, 0.500, 0.000], [0.375, 0.406, 0.750], [0.250, 0.750, 0.500], [0.750, 0.250, 0.500], [0.156, 0.625, 0.250], [0.875, 0.844, 0.750], [0.594, 0.125, 0.250], [0.000, 0.000, 0.000]]
}

---

Record 16
{
  "formula": "CdGa6Br12",
  "functional": "GGA-PBE",
  "state": "optimized geometry",
  "raw_formation_energy_ev_per_atom": -0.69,
  "total_magnetization_mub_per_atom": 0.00,
  "total_energy_ev_per_cell": -52.3,
  "lattice": [[10.805, -4.641, -1.256], [-9.229, 12.722, -4.487], [1.303, -1.953, 8.394]],
  "species": ["Br", "Br", "Ga", "Br", "Br", "Cd", "Ga", "Br", "Br", "Br", "Br", "Br", "Ga", "Ga", "Br", "Br", "Br", "Ga", "Ga"],
  "frac_coords": [[0.883, 0.249, 0.904], [0.380, 0.760, 0.723], [0.326, 0.480, 0.392], [0.457, 0.371, 0.218], [0.886, 0.978, 0.679], [0.000, 0.000, 0.000], [0.331, 0.489, 0.060], [0.043, 0.851, 0.740], [0.117, 0.751, 0.096], [0.542, 0.220, 0.706], [0.957, 0.149, 0.260], [0.458, 0.780, 0.294], [0.669, 0.511, 0.940], [0.674, 0.520, 0.608], [0.620, 0.240, 0.277], [0.543, 0.629, 0.782], [0.114, 0.022, 0.321], [0.643, 0.939, 0.660], [0.357, 0.061, 0.340]]
}

---

Record 17
{
  "formula": "CdGa2Br5",
  "functional": "GGA-PBE",
  "state": "optimized geometry",
  "polymorph_energy_mev_per_atom": 58,
  "raw_formation_energy_ev_per_atom": -0.61,
  "total_magnetization_mub_per_atom": 0.00,
  "total_energy_ev_per_cell": -40.4,
  "lattice": [[5.529, 0.000, 0.000], [-2.764, 6.916, 0.000], [0.000, 0.000, 14.078]],
  "species": ["Cd", "Br", "Ga", "Ga", "Br", "Br", "Ga", "Br", "Br", "Br", "Br", "Br", "Br", "Cd", "Br", "Ga"],
  "frac_coords": [[0.202, 0.403, 0.250], [0.668, 0.335, 0.585], [0.143, 0.287, 0.564], [0.143, 0.287, 0.936], [0.332, 0.665, 0.085], [0.943, 0.887, 0.615], [0.857, 0.713, 0.436], [0.265, 0.529, 0.750], [0.668, 0.335, 0.915], [0.943, 0.887, 0.885], [0.735, 0.471, 0.250], [0.332, 0.665, 0.415], [0.057, 0.113, 0.385], [0.798, 0.597, 0.750], [0.057, 0.113, 0.115], [0.857, 0.713, 0.064]]
}